Entry from Alexandria via LeMat-Bulk: an optimized crystal structure of As3BrO (PBE).

Cell lengths 4.5602, 4.5602, 4.5602 Å; angles 90.00, 90.00, 90.00 degrees
Last column: nearest neighbours and their distance in Å.
Positions (direct):
As 0.0000 0.0000 0.5000  2 O 2.28
As 0.0000 0.5000 0.0000  2 O 2.28
As 0.5000 0.0000 0.0000  2 O 2.28
Br 0.5000 0.5000 0.5000  12 As 3.22
O 0.0000 0.0000 0.0000  6 As 2.28

Summary:
- total moment (μB per cell) = 0.00
- uncorrected energy (eV/atom) = -3.54
- relative energy among the computed polymorphs (meV per atom) = 0
- ΔE_f (raw) (eV/atom) = 0.5804

=====

Entry from Alexandria via LeMat-Bulk: an optimized crystal structure of As2BrO2 (PBE).

Cell lengths 8.1342, 8.1342, 3.1429 Å; angles 90.00, 90.00, 90.00 degrees
Last column: nearest neighbours and their distance in Å.
Positions (direct):
As 0.2490 0.2510 0.0000  2 O 1.89
As 0.2510 0.7510 0.0000  2 O 1.89
As 0.7490 0.2490 0.0000  2 O 1.89
As 0.7510 0.7490 0.0000  2 O 1.89
Br 0.0000 0.0000 0.0000  4 As 2.88, 2 Br 3.14
Br 0.5000 0.5000 0.0000  4 As 2.88, 2 Br 3.14
O 0.1585 0.3415 0.5000  2 As 1.89
O 0.3415 0.8415 0.5000  2 As 1.89
O 0.6585 0.1585 0.5000  2 As 1.89
O 0.8415 0.6585 0.5000  2 As 1.89

Summary:
- total moment (μB per cell) = 0.00
- uncorrected energy (eV/atom) = -4.64
- relative energy among the computed polymorphs (meV per atom) = 16
- ΔE_f (raw) (eV/atom) = -0.4632

=====

Entry from Alexandria via LeMat-Bulk: an optimized crystal structure of AsBrO2 (PBE).

Cell lengths 5.9352, 5.9352, 5.9352 Å; angles 60.00, 60.00, 60.00 degrees
Last column: nearest neighbours and their distance in Å.
Positions (direct):
As 0.1250 0.1250 0.1250  4 O 1.82
As 0.8750 0.8750 0.8750  4 O 1.82
Br 0.3750 0.3750 0.3750  12 O 3.48, 4 As 3.63, 4 Br 3.63
Br 0.6250 0.6250 0.6250  12 O 3.48, 4 As 3.63, 4 Br 3.63
O 0.0000 0.0000 0.0000  2 As 1.82
O 0.0000 0.0000 0.5000  2 As 1.82
O 0.0000 0.5000 0.0000  2 As 1.82
O 0.5000 0.0000 0.0000  2 As 1.82

Summary:
- total moment (μB per cell) = 1.75
- uncorrected energy (eV/atom) = -4.49
- relative energy among the computed polymorphs (meV per atom) = 0
- ΔE_f (raw) (eV/atom) = -0.4327

=====

Entry from Alexandria via LeMat-Bulk: an optimized crystal structure of AsBrO3 (PBE).

Cell lengths 3.8416, 3.8416, 3.8416 Å; angles 90.00, 90.00, 90.00 degrees
Last column: nearest neighbours and their distance in Å.
Positions (direct):
As 0.0000 0.0000 0.0000  6 O 1.92
Br 0.5000 0.5000 0.5000  12 O 2.72
O 0.0000 0.0000 0.5000  2 As 1.92
O 0.0000 0.5000 0.0000  2 As 1.92
O 0.5000 0.0000 0.0000  2 As 1.92

Summary:
- total moment (μB per cell) = 0.78
- uncorrected energy (eV/atom) = -4.15
- ΔE_f (raw) (eV/atom) = 0.0846

=====

Please write out number 3 again, unchanged.
Entry from Alexandria via LeMat-Bulk: an optimized crystal structure of AsBrO2 (PBE).

Cell lengths 5.9352, 5.9352, 5.9352 Å; angles 60.00, 60.00, 60.00 degrees
Last column: nearest neighbours and their distance in Å.
Positions (direct):
As 0.1250 0.1250 0.1250  4 O 1.82
As 0.8750 0.8750 0.8750  4 O 1.82
Br 0.3750 0.3750 0.3750  12 O 3.48, 4 As 3.63, 4 Br 3.63
Br 0.6250 0.6250 0.6250  12 O 3.48, 4 As 3.63, 4 Br 3.63
O 0.0000 0.0000 0.0000  2 As 1.82
O 0.0000 0.0000 0.5000  2 As 1.82
O 0.0000 0.5000 0.0000  2 As 1.82
O 0.5000 0.0000 0.0000  2 As 1.82

Summary:
- total moment (μB per cell) = 1.75
- uncorrected energy (eV/atom) = -4.49
- relative energy among the computed polymorphs (meV per atom) = 0
- ΔE_f (raw) (eV/atom) = -0.4327

=====

Question: Among the records above, which one has the highest total moment?
Answer: AsBrO2